No. 1
Density functional theory data (GGA-PBEsol) for an optimized crystal structure of BaLiSb2.

The calculated total energy is -3.81 eV per atom. The formation energy (no corrections) comes out at -497 meV per atom.

It has space group Imm2 (No. 44), with a = 4.1116 Å, b = 5.2993 Å, c = 11.1497 Å, α = 90.00°, β = 90.00° and γ = 90.00°. The distinct sites, in fractional coordinates, are Ba at (0.0000, 0.0000, 0.0000), Li at (0.0000, 0.5000, 0.7750), Sb at (0.0000, 0.0000, 0.5305) and Sb at (0.0000, 0.5000, 0.2319).

=====

No. 2
Density functional theory data (GGA-PBEsol) for an optimized crystal structure of BaLi2Sb.

The calculated total energy is -3.30 eV per atom. The formation energy (no corrections) comes out at -642 meV per atom.

It has space group R3m (No. 160, hexagonal axes), with a = 4.7256 Å, b = 4.7256 Å, c = 17.9120 Å, α = 90.00°, β = 90.00° and γ = 120.00°. The distinct sites, in fractional coordinates, are Ba at (0.0000, 0.0000, 0.0000), Li at (0.0000, 0.0000, 0.1884), Li at (0.0000, 0.0000, 0.4829) and Sb at (0.0000, 0.0000, 0.7992).

=====

No. 3
Density functional theory data (GGA-PBEsol) for an optimized crystal structure of BaLi2Sb.

The calculated total energy is -3.19 eV per atom. The formation energy (no corrections) comes out at -535 meV per atom.

It has space group Pm (No. 6), with a = 4.6041 Å, b = 4.6666 Å, c = 6.2748 Å, α = 90.00°, β = 111.29° and γ = 90.00°. The distinct sites, in fractional coordinates, are Ba at (0.0000, 0.0000, 0.0000), Li at (0.2892, 0.0000, 0.5721), Li at (0.7533, 0.5000, 0.5032) and Sb at (0.3945, 0.5000, 0.7878).

=====

No. 4
Density functional theory data (GGA-PBEsol) for an optimized crystal structure of BaLi2Sb.

The calculated total energy is -2.92 eV per atom. The formation energy (no corrections) comes out at -259 meV per atom.

It has space group Fmmm (No. 69), with a = 6.7171 Å, b = 6.9758 Å, c = 10.4506 Å, α = 90.00°, β = 90.00° and γ = 90.00°. The distinct sites, in fractional coordinates, are Ba at (0.0000, 0.0000, 0.0000), Li at (0.0000, 0.2500, 0.2500) and Sb at (0.0000, 0.0000, 0.5000).

=====

No. 5
Density functional theory data (GGA-PBEsol) for an optimized crystal structure of BaLiSc2.

The calculated total energy is -3.98 eV per atom.

It has space group Imm2 (No. 44), with a = 3.6461 Å, b = 5.5766 Å, c = 10.8832 Å, α = 90.00°, β = 90.00° and γ = 90.00°. The distinct sites, in fractional coordinates, are Ba at (0.0000, 0.0000, 0.0000), Li at (0.0000, 0.5000, 0.7436), Sc at (0.0000, 0.0000, 0.4608) and Sc at (0.0000, 0.5000, 0.2084).

=====

No. 6
Density functional theory data (GGA-PBEsol) for an optimized crystal structure of BaLiSc2.

The calculated total energy is -4.04 eV per atom.

It has space group Immm (No. 71), with a = 3.5248 Å, b = 5.4837 Å, c = 11.4766 Å, α = 90.00°, β = 90.00° and γ = 90.00°. The distinct sites, in fractional coordinates, are Ba at (0.0000, 0.0000, 0.0000), Li at (0.0000, 0.0000, 0.5000) and Sc at (0.0000, 0.5000, 0.2228).

=====

No. 7
Density functional theory data (GGA-PBEsol) for an optimized crystal structure of BaLiSc.

The calculated total energy is -3.19 eV per atom.

It has space group P3m1 (No. 156), with a = 5.5787 Å, b = 5.5787 Å, c = 3.4389 Å, α = 90.00°, β = 90.00° and γ = 120.00°. The distinct sites, in fractional coordinates, are Ba at (0.0000, 0.0000, 0.0000), Li at (0.3333, 0.6667, 0.6498) and Sc at (0.6667, 0.3333, 0.3920).

=====

No. 8
Density functional theory data (GGA-PBEsol) for an optimized crystal structure of BaLiSc2.

The calculated total energy is -4.00 eV per atom.

It has space group P4/mmm (No. 123), with a = 3.5747 Å, b = 3.5747 Å, c = 8.7925 Å, α = 90.00°, β = 90.00° and γ = 90.00°. The distinct sites, in fractional coordinates, are Ba at (0.0000, 0.0000, 0.0000), Li at (0.0000, 0.0000, 0.5000) and Sc at (0.5000, 0.5000, 0.3231).

=====

Number 1: Fermi-level density of states 4.59 states/eV per cell, total moment 0.000 μB per formula unit. Number 2: Fermi-level density of states 3.27 states/eV per cell, total moment 0.945 μB per formula unit. Number 3: Fermi-level density of states 2.38 states/eV per cell, total moment 0.379 μB per formula unit. Number 4: Fermi-level density of states 8.24 states/eV per cell, total moment 0.000 μB per formula unit. Number 5: Fermi-level density of states 12.17 states/eV per cell, total moment 0.001 μB per formula unit. Number 6: Fermi-level density of states 15.06 states/eV per cell, total moment 0.052 μB per formula unit. Number 7: Fermi-level density of states 3.89 states/eV per cell, total moment 0.001 μB per formula unit. Number 8: Fermi-level density of states 6.96 states/eV per cell, total moment 0.002 μB per formula unit.